(1)
Density functional theory data (GGA-PBE) for a geometry-optimized Cs5PuO5 structure.

a b c (Å): 5.5299 7.2987 8.2797
angles (deg): 106.17 90.00 112.26
With the nearest neighbours (Å) after each atom.
Atoms (fractional coordinates):
1 Cs 0.3348 0.6696 0.7031  3 O 2.78-2.88
2 Cs 0.0000 0.0000 0.5000  4 O 2.98-3.10
3 Cs 0.3293 0.6586 0.1606  5 O 2.92-3.23
4 Cs 0.6707 0.3414 0.8394  5 O 2.92-3.23
5 Cs 0.6652 0.3304 0.2969  3 O 2.78-2.88
6 Pu 0.0000 0.0000 0.0000  4 O 2.04-2.06
7 O 0.8923 0.7846 0.7662  1 Pu 2.04
8 O 0.1158 0.2317 0.8857  1 Pu 2.06
9 O 0.5000 0.0000 0.0000  2 Pu 2.76, 4 Cs 2.78-2.99
10 O 0.1077 0.2154 0.2338  1 Pu 2.04
11 O 0.8842 0.7683 0.1143  1 Pu 2.06

Summary:
Space group: C2/m (12)
Uncorrected formation energy (eV per atom): -1.70



(2)
Density functional theory data (GGA-PBE) for a geometry-optimized Cs3PuO4 structure.

a b c (Å): 5.6325 7.0120 7.2515
angles (deg): 118.91 112.85 90.00
With the nearest neighbours (Å) after each atom.
Atoms (fractional coordinates):
1 Cs 0.2939 0.7750 0.5500  4 O 2.99-3.04
2 Cs 0.0189 0.0000 0.0000  4 O 3.21
3 Cs 0.7439 0.2250 0.4500  4 O 2.99-3.04
4 O 0.5188 0.2210 0.0000  1 Pu 1.96
5 O 0.3436 0.3247 0.6495  1 Pu 1.99
6 O 0.6941 0.6753 0.3505  1 Pu 1.99
7 O 0.5188 0.7790 0.0000  1 Pu 1.96
8 Pu 0.5189 0.5000 0.0000  4 O 1.96-1.99

Summary:
Space group: Immm (71)
Uncorrected formation energy (eV per atom): -1.87



(3)
Density functional theory data (GGA-PBE) for a geometry-optimized Cs4PuO4 structure.

a b c (Å): 5.8936 7.3137 7.3137
angles (deg): 80.66 66.24 66.24
With the nearest neighbours (Å) after each atom.
Atoms (fractional coordinates):
1 Cs 0.8089 0.5693 0.8129  4 O 2.94-3.14
2 Cs 0.1911 0.4307 0.1871  4 O 2.94-3.14
3 Cs 0.6218 0.1871 0.5693  4 O 2.94-3.14
4 Cs 0.3782 0.8129 0.4307  4 O 2.94-3.14
5 Pu 0.0000 0.0000 0.0000  4 O 2.06
6 O 0.7930 0.2756 0.1385  1 Pu 2.06
7 O 0.0685 0.1385 0.7244  1 Pu 2.06
8 O 0.9315 0.8615 0.2756  1 Pu 2.06
9 O 0.2070 0.7244 0.8615  1 Pu 2.06

Summary:
Space group: I4/m (87)
Uncorrected formation energy (eV per atom): -1.75



(4)
Density functional theory data (GGA-PBE) for a geometry-optimized Cs5PuO6 structure.

a b c (Å): 6.9635 8.1329 7.2100
angles (deg): 107.16 99.72 123.85
With the nearest neighbours (Å) after each atom.
Atoms (fractional coordinates):
1 O 0.3559 0.1705 0.0000  1 Pu 2.06
2 O 0.1196 0.9387 0.2289  1 Pu 2.04
3 O 0.6441 0.8295 0.0000  1 Pu 2.06
4 O 0.1093 0.2902 0.2289  1 Pu 2.04
5 O 0.8907 0.7098 0.7711  1 Pu 2.04
6 O 0.8804 0.0613 0.7711  1 Pu 2.04
7 Cs 0.3393 0.8393 0.6785  4 O 2.92-2.96
8 Cs 0.3323 0.3323 0.6646  6 O 3.07-3.10
9 Cs 0.0000 0.5000 0.0000  4 O 2.98
10 Cs 0.6607 0.1607 0.3215  4 O 2.92-2.96
11 Cs 0.6677 0.6677 0.3354  6 O 3.07-3.10
12 Pu 0.0000 0.0000 0.0000  6 O 2.04-2.06

Summary:
Space group: C2/m (12)
Uncorrected formation energy (eV per atom): -1.90



(5)
Density functional theory data (GGA-PBE) for a geometry-optimized CsPu2O8 structure.

a b c (Å): 6.2622 6.9258 8.2217
angles (deg): 132.01 100.50 77.25
With the nearest neighbours (Å) after each atom.
Atoms (fractional coordinates):
1 Pu 0.4874 0.7407 0.4864  4 O 1.81-1.95
2 Pu 0.5126 0.2593 0.5136  4 O 1.81-1.95
3 O 0.2732 0.9393 0.6809  1 Pu 1.81
4 O 0.3576 0.9595 0.3490  1 Pu 1.93
5 O 0.3530 0.4286 0.3435  1 Pu 1.95
6 O 0.6470 0.5714 0.6565  1 Pu 1.95
7 O 0.6958 0.5408 0.2855  1 Pu 1.81
8 O 0.7268 0.0607 0.3191  1 Pu 1.81
9 O 0.3042 0.4592 0.7145  1 Pu 1.81
10 O 0.6424 0.0405 0.6510  1 Pu 1.93
11 Cs 0.0000 0.0000 0.0000  8 O 3.13-3.43

Summary:
Space group: P-1 (2)
Uncorrected formation energy (eV per atom): -2.09



(6)
Density functional theory data (GGA-PBE) for a geometry-optimized CsPu2O7 structure.

a b c (Å): 4.1898 6.4168 7.3691
angles (deg): 115.81 90.00 90.00
With the nearest neighbours (Å) after each atom.
Atoms (fractional coordinates):
1 O 0.5000 0.0591 0.6929  1 Pu 1.84
2 O 0.0000 0.6599 0.3198  2 Pu 2.10
3 O 0.0000 0.3401 0.6802  2 Pu 2.10
4 O 0.5000 0.5000 0.0000  2 Pu 2.10
5 O 0.5000 0.9409 0.3071  1 Pu 1.84
6 O 0.5000 0.3663 0.3071  1 Pu 1.84
7 O 0.5000 0.6337 0.6929  1 Pu 1.84
8 Pu 0.5000 0.6583 0.3165  2 O 1.84
9 Pu 0.5000 0.3417 0.6835  2 O 1.84
10 Cs 0.0000 0.0000 0.0000  8 O 3.23

Summary:
Space group: Cmmm (65)
Uncorrected formation energy (eV per atom): -2.31



(7)
Density functional theory data (GGA-PBE) for a geometry-optimized Cs2Pu3O6 structure.

a b c (Å): 6.1809 6.1787 7.3155
angles (deg): 81.98 73.80 59.99
With the nearest neighbours (Å) after each atom.
Atoms (fractional coordinates):
1 O 0.9542 0.6616 0.1538  3 Pu 2.31-2.34
2 O 0.7225 0.0000 0.8461  3 Pu 2.30-2.33
3 O 0.2775 0.0000 0.1539  3 Pu 2.30-2.33
4 O 0.3842 0.6616 0.8462  3 Pu 2.31-2.34
5 O 0.6158 0.3384 0.1538  3 Pu 2.31-2.34
6 O 0.0458 0.3384 0.8462  3 Pu 2.31-2.34
7 Pu 0.3344 0.3312 0.0000  6 O 2.31-2.34
8 Pu 0.0000 0.0000 0.0000  6 O 2.30-2.34
9 Pu 0.6656 0.6688 0.0000  6 O 2.31-2.34
10 Cs 0.8331 0.3337 0.5000  6 O 3.17-3.18
11 Cs 0.1669 0.6663 0.5000  6 O 3.17-3.18

Summary:
Space group: C2/m (12)
Uncorrected formation energy (eV per atom): -2.58



(8)
Density functional theory data (GGA-PBE) for a geometry-optimized Cs5Pu2O6 structure.

a b c (Å): 7.4804 7.4804 15.6239
angles (deg): 80.63 80.63 67.99
With the nearest neighbours (Å) after each atom.
Atoms (fractional coordinates):
1 Cs 0.7702 0.2986 0.4949  4 O 3.05-3.36
2 Cs 0.9436 0.7592 0.2092  4 O 2.96-3.28
3 Cs 0.5967 0.4033 0.2500  4 O 3.07-3.40
4 Cs 0.0564 0.2408 0.7908  4 O 2.96-3.28
5 Cs 0.2408 0.0564 0.2908  4 O 2.96-3.28
6 Cs 0.2986 0.7702 0.9949  4 O 3.05-3.36
7 Cs 0.7014 0.2298 0.0051  4 O 3.05-3.36
8 Cs 0.7592 0.9436 0.7092  4 O 2.96-3.28
9 Cs 0.2298 0.7014 0.5051  4 O 3.05-3.36
10 Cs 0.4033 0.5967 0.7500  4 O 3.07-3.40
11 O 0.1418 0.4466 0.9267  2 Pu 2.15-2.25
12 O 0.7086 0.5871 0.8618  1 Pu 2.08
13 O 0.9484 0.9150 0.8885  1 Pu 2.07
14 O 0.5534 0.8582 0.5733  2 Pu 2.15-2.25
15 O 0.9150 0.9484 0.3885  1 Pu 2.07
16 O 0.4129 0.2914 0.6382  1 Pu 2.08
17 O 0.0516 0.0850 0.1115  1 Pu 2.07
18 O 0.8582 0.5534 0.0733  2 Pu 2.15-2.25
19 O 0.5871 0.7086 0.3618  1 Pu 2.08
20 O 0.0850 0.0516 0.6115  1 Pu 2.07
21 O 0.4466 0.1418 0.4267  2 Pu 2.15-2.25
22 O 0.2914 0.4129 0.1382  1 Pu 2.08
23 Pu 0.3207 0.1359 0.5675  4 O 2.07-2.25
24 Pu 0.1359 0.3207 0.0675  4 O 2.07-2.25
25 Pu 0.8641 0.6793 0.9325  4 O 2.07-2.25
26 Pu 0.6793 0.8641 0.4325  4 O 2.07-2.25

Summary:
Space group: C2/c (15)
Uncorrected formation energy (eV per atom): -1.90